The following is a PBE calculation of an optimized crystal structure of RbReCl2, from Alexandria.

Properties
- uncorrected formation energy (meV per atom) = 263.2
- polymorph energy (0 for the lowest one) (eV per formula unit) = 0.73

a b c (Å): 8.383 8.383 8.383
angles (deg): 27.34 27.34 27.34
Sites, in units of the cell vectors:
Cl 0.874 0.874 0.874
Cl 0.126 0.126 0.126
Re 0.500 0.500 0.500
Rb 0.000 0.000 0.000

---

The following is a PBE calculation of an optimized crystal structure of Nd7Co2Pb2, from Alexandria.

Properties
- ΔE_f (meV per atom) = -157

a b c (Å): 7.014 7.266 7.014
angles (deg): 90.00 108.52 90.00
Sites, in units of the cell vectors:
Nd 0.500 0.223 0.500
Nd 0.000 0.000 0.000
Nd 0.000 0.760 0.500
Nd 0.500 0.760 0.000
Nd 0.500 0.777 0.500
Nd 0.000 0.240 0.500
Nd 0.500 0.240 0.000
Pb 0.185 0.500 0.185
Pb 0.815 0.500 0.815
Co 0.714 0.000 0.286
Co 0.286 0.000 0.714

---

The following is a PBE calculation of an optimized crystal structure of BiSCl2F, from Alexandria.

Properties
- uncorrected formation energy (meV per atom) = -518.1
- polymorph energy (0 for the lowest one) (eV per formula unit) = 0.00

a b c (Å): 5.465 4.540 5.465
angles (deg): 90.00 90.00 90.00
Last column: magnetic moment on the atom in μB.
Sites, in units of the cell vectors:
Cl 0.000 0.000 0.500  0.08
Cl 0.500 0.000 0.000  0.07
Bi 0.000 0.000 0.000  -0.01
S 0.500 0.500 0.500  1.08
F 0.000 0.500 0.000  0.00

---

The following is a PBE calculation of an optimized crystal structure of CsSiF, from Alexandria.

Properties
- uncorrected formation energy (meV per atom) = -1319.8

a b c (Å): 7.790 4.192 7.466
angles (deg): 89.79 63.98 57.43
Sites, in units of the cell vectors:
F 0.275 0.489 0.944
F 0.108 0.159 0.486
Cs 0.551 0.712 0.029
Cs 0.827 0.940 0.406
Si 0.102 0.662 0.819
Si 0.275 0.991 0.616

---

The following is a PBE calculation of an optimized crystal structure of LiTeW2, from Alexandria.

Properties
- uncorrected formation energy (meV per atom) = 621.4

a b c (Å): 4.951 3.087 4.762
angles (deg): 93.15 90.00 90.00
Sites, in units of the cell vectors:
Te 0.500 0.750 0.750
W 0.000 0.534 0.461
W 0.000 0.966 0.039
Li 0.500 0.250 0.250

---

The following is a PBE calculation of an optimized crystal structure of ScVB4, from Alexandria.

Properties
- ΔE_f (meV per atom) = -17

a b c (Å): 4.206 4.206 4.206
angles (deg): 60.00 60.00 60.00
Sites, in units of the cell vectors:
B 0.082 0.639 0.639
B 0.639 0.639 0.082
B 0.639 0.082 0.639
B 0.639 0.639 0.639
Sc 0.250 0.250 0.250
V 0.000 0.000 0.000

---

The following is a PBE calculation of an optimized crystal structure of GdEr2In, from Alexandria.

Properties
- ΔE_f (meV per atom) = -227
- polymorph energy (0 for the lowest one) (eV per formula unit) = 0.19

a b c (Å): 3.567 3.567 9.123
angles (deg): 90.00 90.00 90.00
Last column: magnetic moment on the atom in μB.
Sites, in units of the cell vectors:
Gd 0.500 0.500 0.500  7.18
Er 0.000 0.000 0.774  -0.02
Er 0.000 0.000 0.226  -0.02
In 0.500 0.500 0.000  0.00

---

The following is a PBE calculation of an optimized crystal structure of LaMg11In, from Alexandria.

Properties
- ΔE_f (meV per atom) = -96

a b c (Å): 5.958 7.819 7.877
angles (deg): 81.82 67.78 67.90
Sites, in units of the cell vectors:
Mg 0.350 0.647 0.647
Mg 0.500 0.000 0.500
Mg 0.502 0.786 0.213
Mg 0.003 0.353 0.647
Mg 0.498 0.214 0.787
Mg 0.997 0.647 0.353
Mg 0.000 0.000 0.500
Mg 0.000 0.500 0.000
Mg 0.650 0.353 0.353
Mg 0.284 0.214 0.213
Mg 0.716 0.786 0.787
In 0.500 0.500 0.000
La 0.000 0.000 0.000

---

The following is a PBE calculation of an optimized crystal structure of NaFeW2, from Alexandria.

Properties
- ΔE_f (meV per atom) = 1399
- polymorph energy (0 for the lowest one) (eV per formula unit) = 0.77

a b c (Å): 3.751 3.751 10.229
angles (deg): 79.44 79.44 90.00
Last column: magnetic moment on the atom in μB.
Sites, in units of the cell vectors:
W 0.375 0.356 0.750  0.04
W 0.644 0.125 0.250  0.04
W 0.106 0.625 0.250  0.04
W 0.875 0.894 0.750  0.03
Fe 0.000 0.000 0.000  2.73
Fe 0.750 0.250 0.500  2.72
Na 0.250 0.750 0.500  -0.01
Na 0.500 0.500 0.000  -0.01

---

The following is a PBE calculation of an optimized crystal structure of TaSbTe2S, from Alexandria.

Properties
- uncorrected formation energy (meV per atom) = 1024.8
- polymorph energy (0 for the lowest one) (eV per formula unit) = 2.50

a b c (Å): 5.079 5.079 5.112
angles (deg): 90.00 90.00 90.00
Last column: magnetic moment on the atom in μB.
Sites, in units of the cell vectors:
Te 0.000 0.500 0.000  -0.08
Te 0.500 0.000 0.000  -0.08
Ta 0.500 0.500 0.500  1.55
Sb 0.000 0.000 0.500  -0.06
S 0.000 0.000 0.000  0.00

---

The following is a PBE calculation of an optimized crystal structure of Ta2CuSe4, from Alexandria.

Properties
- uncorrected formation energy (meV per atom) = 348.5

a b c (Å): 4.891 4.891 7.409
angles (deg): 70.73 70.73 90.00
Last column: magnetic moment on the atom in μB.
Sites, in units of the cell vectors:
Se 0.000 0.500 0.000  -0.03
Se 0.210 0.210 0.580  -0.09
Se 0.500 0.000 0.000  -0.03
Se 0.790 0.790 0.420  -0.09
Ta 0.608 0.608 0.783  0.84
Ta 0.392 0.392 0.217  0.84
Cu 0.000 0.000 0.000  0.02

---

The following is a PBE calculation of an optimized crystal structure of CdCu2Au, from Alexandria.

Properties
- ΔE_f (meV per atom) = 38

a b c (Å): 4.742 4.742 4.973
angles (deg): 78.64 78.64 35.83
Sites, in units of the cell vectors:
Cd 0.250 0.250 0.250
Au 0.750 0.750 0.750
Cu 0.002 0.002 0.985
Cu 0.498 0.498 0.515

---

| no. | raw total energy (eV per atom) | size of the total moment (μB/cell) |
| --- | --- | --- |
| 1 | -4.01 | 0.0 |
| 2 | -5.16 | 0.0 |
| 3 | -3.23 | 2.0 |
| 4 | -4.04 | 0.0 |
| 5 | -7.12 | 0.0 |
| 6 | -7.04 | 0.0 |
| 7 | -6.71 | 7.4 |
| 8 | -2.03 | 0.0 |
| 9 | -7.52 | 5.7 |
| 10 | -4.25 | 2.0 |
| 11 | -5.61 | 2.2 |
| 12 | -3.06 | 0.0 |